CsMnSe2 | GGA-PBE | relaxed

The energy relative to the elements, uncorrected is -13.224 kcal/mol of atoms. As for the electronic total energy: -4.821 eV per atom.

Lattice parameters (Å, degrees): 3.974 3.974 8.674 90.00 90.00 120.00
Atoms (fractional coordinates):
Cs  0.333  0.667  0.451
Mn  0.000  0.000  0.998
Se  0.333  0.667  0.850
Se  0.667  0.333  0.156

CsMn2Se3 | GGA-PBE | relaxed

The energy relative to the elements, uncorrected is -14.208 kcal/mol of atoms. As for the electronic total energy: -5.557 eV per atom.

Lattice parameters (Å, degrees): 4.275 7.414 13.656 111.82 99.01 90.00
Atoms (fractional coordinates):
Cs  0.403  0.370  0.807
Cs  0.597  0.630  0.193
Mn  0.285  0.662  0.571
Mn  0.715  0.338  0.429
Mn  0.937  0.914  0.875
Mn  0.063  0.086  0.125
Se  0.258  0.294  0.516
Se  0.000  0.747  0.000
Se  0.384  0.847  0.767
Se  0.742  0.706  0.484
Se  0.616  0.153  0.233
Se  0.000  0.253  0.000

Cs5MnSe4 | GGA-PBE | relaxed

The energy relative to the elements, uncorrected is -21.242 kcal/mol of atoms. As for the electronic total energy: -3.659 eV per atom.

Lattice parameters (Å, degrees): 8.017 10.950 10.652 90.00 90.00 90.00
Atoms (fractional coordinates):
Cs  0.738  0.189  0.229
Cs  0.738  0.189  0.771
Cs  0.123  0.000  0.500
Cs  0.738  0.811  0.229
Cs  0.738  0.811  0.771
Cs  0.262  0.689  0.271
Cs  0.262  0.689  0.729
Cs  0.877  0.500  0.000
Cs  0.262  0.311  0.729
Cs  0.262  0.311  0.271
Mn  0.212  0.000  0.000
Mn  0.788  0.500  0.500
Se  0.069  0.202  0.000
Se  0.351  0.000  0.208
Se  0.351  0.000  0.792
Se  0.069  0.798  0.000
Se  0.931  0.702  0.500
Se  0.649  0.500  0.292
Se  0.649  0.500  0.708
Se  0.931  0.298  0.500

CsMnSe2 | GGA-PBE | relaxed

The energy relative to the elements, uncorrected is -17.169 kcal/mol of atoms. As for the electronic total energy: -4.993 eV per atom.

Lattice parameters (Å, degrees): 7.753 7.753 7.076 56.79 56.79 90.00
Atoms (fractional coordinates):
Cs  0.000  0.000  0.000
Cs  0.750  0.250  0.500
Mn  0.500  0.500  0.000
Mn  0.250  0.750  0.500
Se  0.495  0.125  0.250
Se  0.255  0.625  0.250
Se  0.375  0.505  0.750
Se  0.875  0.745  0.750

CsMnSe2 | GGA-PBE | relaxed

The energy relative to the elements, uncorrected is -16.400 kcal/mol of atoms. As for the electronic total energy: -4.959 eV per atom.

Lattice parameters (Å, degrees): 8.563 8.563 7.038 52.53 52.53 90.00
Atoms (fractional coordinates):
Cs  0.750  0.750  0.500
Cs  0.250  0.250  0.500
Mn  0.750  0.250  0.500
Mn  0.250  0.750  0.500
Se  0.861  0.361  0.000
Se  0.139  0.639  0.000
Se  0.361  0.139  0.000
Se  0.639  0.861  0.000

CsMnSe2 | GGA-PBE | relaxed

The energy relative to the elements, uncorrected is -10.638 kcal/mol of atoms. As for the electronic total energy: -4.709 eV per atom.

Lattice parameters (Å, degrees): 9.349 9.349 9.349 26.15 26.15 26.15
Atoms (fractional coordinates):
Cs  0.511  0.511  0.511
Mn  0.006  0.006  0.006
Se  0.091  0.091  0.091
Se  0.643  0.643  0.643

CsMnSe2 | GGA-PBE | relaxed

The energy relative to the elements, uncorrected is -18.975 kcal/mol of atoms. As for the electronic total energy: -5.071 eV per atom.

Lattice parameters (Å, degrees): 7.413 5.648 7.900 110.93 62.04 89.98
Atoms (fractional coordinates):
Cs  0.172  0.699  0.807
Cs  0.517  0.356  0.117
Mn  0.844  0.771  0.462
Mn  0.844  0.267  0.462
Se  0.589  0.009  0.462
Se  0.697  0.675  0.756
Se  0.991  0.381  0.168
Se  0.099  0.008  0.463

Cs2MnSe | GGA-PBE | relaxed

The energy relative to the elements, uncorrected is 2.235 kcal/mol of atoms. As for the electronic total energy: -3.493 eV per atom.

Lattice parameters (Å, degrees): 6.210 6.210 6.210 60.00 60.00 60.00
Atoms (fractional coordinates):
Cs  0.250  0.250  0.250
Cs  0.750  0.750  0.750
Mn  0.000  0.000  0.000
Se  0.500  0.500  0.500

CsMnSe2 | GGA-PBE | relaxed

The energy relative to the elements, uncorrected is -16.839 kcal/mol of atoms. As for the electronic total energy: -4.978 eV per atom.

Lattice parameters (Å, degrees): 7.067 10.986 7.217 90.00 90.00 90.00
Atoms (fractional coordinates):
Cs  0.055  0.382  0.028
Cs  0.945  0.618  0.528
Cs  0.445  0.882  0.528
Cs  0.555  0.118  0.028
Mn  0.040  0.876  0.994
Mn  0.960  0.124  0.494
Mn  0.460  0.376  0.494
Mn  0.540  0.624  0.994
Se  0.362  0.809  0.043
Se  0.638  0.191  0.543
Se  0.138  0.309  0.543
Se  0.862  0.691  0.043
Se  0.958  0.941  0.685
Se  0.042  0.059  0.185
Se  0.542  0.441  0.185
Se  0.458  0.559  0.685

CsMnSe2 | GGA-PBE | relaxed

The energy relative to the elements, uncorrected is -17.298 kcal/mol of atoms. As for the electronic total energy: -4.998 eV per atom.

Lattice parameters (Å, degrees): 7.439 3.723 18.685 90.00 90.00 90.00
Atoms (fractional coordinates):
Cs  0.064  0.250  0.644
Cs  0.436  0.750  0.144
Cs  0.936  0.750  0.356
Cs  0.564  0.250  0.856
Mn  0.415  0.250  0.426
Mn  0.085  0.750  0.926
Mn  0.585  0.750  0.574
Mn  0.915  0.250  0.074
Se  0.721  0.250  0.499
Se  0.779  0.750  0.999
Se  0.279  0.750  0.501
Se  0.221  0.250  0.001
Se  0.556  0.250  0.662
Se  0.944  0.750  0.162
Se  0.444  0.750  0.338
Se  0.056  0.250  0.838

CsMnSe2 | GGA-PBE | relaxed

The energy relative to the elements, uncorrected is -16.935 kcal/mol of atoms. As for the electronic total energy: -4.982 eV per atom.

Lattice parameters (Å, degrees): 8.423 5.602 7.911 90.00 122.16 90.00
Atoms (fractional coordinates):
Cs  0.287  0.603  0.158
Cs  0.792  0.103  0.167
Mn  0.296  0.853  0.663
Mn  0.296  0.353  0.663
Se  0.356  0.103  0.469
Se  0.042  0.603  0.470
Se  0.550  0.603  0.856
Se  0.235  0.103  0.856

Cs3Mn2Se4 | GGA-PBE | relaxed

The energy relative to the elements, uncorrected is -20.100 kcal/mol of atoms. As for the electronic total energy: -4.742 eV per atom.

Lattice parameters (Å, degrees): 7.507 9.655 9.655 73.18 83.87 83.87
Atoms (fractional coordinates):
Cs  0.945  0.992  0.263
Cs  0.555  0.737  0.008
Cs  0.055  0.008  0.737
Cs  0.445  0.263  0.992
Cs  0.250  0.596  0.404
Cs  0.750  0.404  0.596
Mn  0.446  0.165  0.407
Mn  0.054  0.593  0.835
Mn  0.554  0.835  0.593
Mn  0.946  0.407  0.165
Se  0.469  0.935  0.335
Se  0.031  0.665  0.065
Se  0.531  0.065  0.665
Se  0.969  0.335  0.935
Se  0.129  0.265  0.370
Se  0.371  0.630  0.735
Se  0.871  0.735  0.630
Se  0.629  0.370  0.265

CsMnSe2 | GGA-PBE | relaxed

The energy relative to the elements, uncorrected is -19.351 kcal/mol of atoms. As for the electronic total energy: -5.087 eV per atom.

Lattice parameters (Å, degrees): 8.303 5.947 7.404 79.18 114.71 68.36
Atoms (fractional coordinates):
Cs  0.275  0.495  0.055
Cs  0.575  0.699  0.659
Mn  0.928  0.344  0.362
Mn  0.922  0.850  0.351
Se  0.210  0.415  0.528
Se  0.034  0.087  0.182
Se  0.816  0.107  0.531
Se  0.641  0.779  0.185

CsMnSe2 | GGA-PBE | relaxed

The energy relative to the elements, uncorrected is -15.112 kcal/mol of atoms. As for the electronic total energy: -4.903 eV per atom.

Lattice parameters (Å, degrees): 11.681 11.681 4.924 90.00 90.00 152.08
Atoms (fractional coordinates):
Cs  0.333  0.667  0.250
Cs  0.667  0.333  0.750
Mn  0.067  0.933  0.250
Mn  0.933  0.067  0.750
Se  0.169  0.831  0.250
Se  0.831  0.169  0.750
Se  0.957  0.043  0.250
Se  0.043  0.957  0.750

Cs2Mn3Se4 | GGA-PBE | relaxed

The energy relative to the elements, uncorrected is -17.074 kcal/mol of atoms. As for the electronic total energy: -5.535 eV per atom.

Lattice parameters (Å, degrees): 10.075 10.075 10.075 143.36 105.33 86.17
Atoms (fractional coordinates):
Cs  0.121  0.235  0.356
Cs  0.379  0.735  0.114
Cs  0.621  0.265  0.886
Cs  0.879  0.765  0.644
Mn  0.520  0.750  0.770
Mn  0.980  0.750  0.230
Mn  0.480  0.250  0.230
Mn  0.750  0.250  0.500
Mn  0.250  0.750  0.500
Mn  0.020  0.250  0.770
Se  0.214  0.068  0.587
Se  0.286  0.873  0.854
Se  0.019  0.432  0.146
Se  0.481  0.627  0.413
Se  0.786  0.932  0.413
Se  0.714  0.127  0.146
Se  0.981  0.568  0.854
Se  0.519  0.373  0.587

Cs2MnSe2 | GGA-PBE | relaxed

The energy relative to the elements, uncorrected is -21.974 kcal/mol of atoms. As for the electronic total energy: -4.522 eV per atom.

Lattice parameters (Å, degrees): 8.904 8.904 8.904 134.97 129.06 70.32
Atoms (fractional coordinates):
Cs  0.522  0.353  0.168
Cs  0.478  0.647  0.832
Cs  0.815  0.147  0.668
Cs  0.185  0.853  0.332
Mn  0.000  0.750  0.750
Mn  0.000  0.250  0.250
Se  0.080  0.404  0.676
Se  0.728  0.904  0.824
Se  0.920  0.596  0.324
Se  0.272  0.096  0.176

CsMnSe2 | GGA-PBE | relaxed

The energy relative to the elements, uncorrected is -9.893 kcal/mol of atoms. As for the electronic total energy: -4.677 eV per atom.

Lattice parameters (Å, degrees): 6.609 6.609 7.768 64.82 64.82 90.00
Atoms (fractional coordinates):
Cs  0.500  0.500  0.000
Cs  0.250  0.750  0.500
Mn  0.000  0.000  0.000
Mn  0.750  0.250  0.500
Se  0.809  0.809  0.382
Se  0.941  0.441  0.118
Se  0.191  0.191  0.618
Se  0.559  0.059  0.882

CsMnSe2 | GGA-PBE | relaxed

The energy relative to the elements, uncorrected is -17.511 kcal/mol of atoms. As for the electronic total energy: -5.007 eV per atom.

Lattice parameters (Å, degrees): 7.638 7.641 5.516 90.03 90.03 114.42
Atoms (fractional coordinates):
Cs  0.324  0.349  0.921
Cs  0.961  0.712  0.421
Mn  0.737  0.126  0.170
Mn  0.737  0.126  0.670
Se  0.690  0.865  0.920
Se  0.812  0.391  0.921
Se  0.477  0.080  0.420
Se  0.003  0.200  0.421

CsMn2Se4 | GGA-PBE | relaxed

The energy relative to the elements, uncorrected is 9.534 kcal/mol of atoms. As for the electronic total energy: -4.320 eV per atom.

Lattice parameters (Å, degrees): 5.828 5.828 8.487 69.92 69.92 90.00
Atoms (fractional coordinates):
Cs  0.000  0.000  0.000
Mn  0.592  0.592  0.816
Mn  0.408  0.408  0.184
Se  0.744  0.744  0.512
Se  0.256  0.256  0.488
Se  0.000  0.500  0.000
Se  0.500  0.000  0.000

CsMnSe2 | GGA-PBE | relaxed

The energy relative to the elements, uncorrected is -15.824 kcal/mol of atoms. As for the electronic total energy: -4.934 eV per atom.

Lattice parameters (Å, degrees): 7.780 7.780 7.780 149.00 149.00 44.41
Atoms (fractional coordinates):
Cs  0.000  0.000  0.000
Mn  0.250  0.750  0.500
Se  0.339  0.339  0.000
Se  0.661  0.661  0.000

CsMnSiSe4 | GGA-PBE | relaxed

The energy relative to the elements, uncorrected is -14.342 kcal/mol of atoms. As for the electronic total energy: -4.820 eV per atom.

Lattice parameters (Å, degrees): 6.481 7.111 10.708 90.00 121.96 90.00
Atoms (fractional coordinates):
Cs  0.664  0.750  0.938
Cs  0.336  0.250  0.062
Mn  0.780  0.750  0.453
Mn  0.220  0.250  0.547
Si  0.203  0.750  0.358
Si  0.797  0.250  0.642
Se  0.062  0.490  0.674
Se  0.938  0.990  0.326
Se  0.938  0.510  0.326
Se  0.062  0.010  0.674
Se  0.353  0.750  0.207
Se  0.647  0.250  0.793
Se  0.549  0.750  0.581
Se  0.451  0.250  0.419

Cs2SmMn2Se4 | GGA-PBE | relaxed

The energy relative to the elements, uncorrected is -25.335 kcal/mol of atoms. As for the electronic total energy: -5.399 eV per atom.

Lattice parameters (Å, degrees): 4.300 8.520 8.200 107.74 105.20 90.00
Atoms (fractional coordinates):
Cs  0.134  0.553  0.267
Cs  0.866  0.447  0.733
Sm  0.000  0.000  0.000
Mn  0.678  0.983  0.356
Mn  0.322  0.017  0.644
Se  0.198  0.158  0.395
Se  0.802  0.842  0.605
Se  0.523  0.777  0.046
Se  0.477  0.223  0.954